# Er3CoRh, relaxed, DFT PBE
# - Energy of formation from the pure elements: -0.5083 eV/atom
# - ΔE to the lowest computed polymorph: 0.0 meV/atom
data_Er3CoRh
_chemical_formula_sum 'Er6 Co2 Rh2'
_space_group_name_H-M_alt 'P 1 21/m 1'
_space_group_IT_number 11
_space_group_name_Hall '-P 2yb'
_cell_length_a 7.4799
_cell_length_b 3.8842
_cell_length_c 8.0574
_cell_angle_alpha 90.00
_cell_angle_beta 109.53
_cell_angle_gamma 90.00
loop_
_atom_site_label
_atom_site_type_symbol
_atom_site_fract_x
_atom_site_fract_y
_atom_site_fract_z
Er1 Er 0.0882 0.2500 0.2347
Er2 Er 0.3097 0.2500 0.9263
Er3 Er 0.3587 0.7500 0.5961
Co1 Co 0.0520 0.2500 0.5772
Rh1 Rh 0.3601 0.7500 0.1960


# PaIrS4, relaxed, DFT PBE
# - ΔE to the lowest computed polymorph: 134.2 meV/atom
data_PaIrS4
_chemical_formula_sum 'Pa2 Ir2 S8'
_space_group_name_H-M_alt 'P 1 21/c 1'
_space_group_IT_number 14
_space_group_name_Hall '-P 2ybc'
_cell_length_a 6.3688
_cell_length_b 6.1671
_cell_length_c 6.2234
_cell_angle_alpha 90.00
_cell_angle_beta 97.62
_cell_angle_gamma 90.00
loop_
_atom_site_label
_atom_site_type_symbol
_atom_site_fract_x
_atom_site_fract_y
_atom_site_fract_z
Pa1 Pa 0.0000 0.0000 0.0000
Ir1 Ir 0.5000 0.0000 0.5000
S1 S 0.1835 0.1607 0.3779
S2 S 0.3253 0.7080 0.2652


# KSiAu3, relaxed, DFT PBE
# - VASP energy: -67.60 eV for the cell shown
data_KSiAu3
_chemical_formula_sum 'K4 Si4 Au12'
_space_group_name_H-M_alt 'I -4 m 2'
_space_group_IT_number 119
_space_group_name_Hall 'I -4 -2'
_cell_length_a 5.6465
_cell_length_b 5.6465
_cell_length_c 16.4357
_cell_angle_alpha 90.00
_cell_angle_beta 90.00
_cell_angle_gamma 90.00
loop_
_atom_site_label
_atom_site_type_symbol
_atom_site_fract_x
_atom_site_fract_y
_atom_site_fract_z
K1 K 0.0000 0.0000 0.1378
Si1 Si 0.0000 0.0000 0.5000
Si2 Si 0.0000 0.5000 0.2500
Au1 Au 0.0000 0.2342 0.3630
Au2 Au 0.0000 0.5000 0.5116


# LiAlHg2Br4, relaxed, DFT PBE
# - VASP energy: -39.92 eV for the cell shown
data_LiAlHg2Br4
_chemical_formula_sum 'Li2 Al2 Hg4 Br8'
_space_group_name_H-M_alt 'C 1 2 1'
_space_group_IT_number 5
_space_group_name_Hall 'C 2y'
_cell_length_a 11.1352
_cell_length_b 9.8488
_cell_length_c 7.8729
_cell_angle_alpha 90.00
_cell_angle_beta 134.95
_cell_angle_gamma 90.00
loop_
_atom_site_label
_atom_site_type_symbol
_atom_site_fract_x
_atom_site_fract_y
_atom_site_fract_z
Li1 Li 0.0000 0.0000 0.0000
Al1 Al 0.0000 0.2506 0.5000
Hg1 Hg 0.0000 0.5005 0.0000
Hg2 Hg 0.0000 0.7505 0.5000
Br1 Br 0.1070 0.1196 0.8291
Br2 Br 0.2225 0.3815 0.6153


# Li2ReIrOs, relaxed, DFT PBE
# - Energy of formation from the pure elements: 1.9255 eV/atom
data_Li2ReIrOs
_chemical_formula_sum 'Li2 Re1 Ir1 Os1'
_space_group_name_H-M_alt 'P 4/m m m'
_space_group_IT_number 123
_space_group_name_Hall '-P 4 2'
_cell_length_a 4.3530
_cell_length_b 4.3530
_cell_length_c 4.6733
_cell_angle_alpha 90.00
_cell_angle_beta 90.00
_cell_angle_gamma 90.00
loop_
_atom_site_label
_atom_site_type_symbol
_atom_site_fract_x
_atom_site_fract_y
_atom_site_fract_z
Li1 Li 0.0000 0.5000 0.0000
Re1 Re 0.0000 0.0000 0.0000
Ir1 Ir 0.0000 0.0000 0.5000
Os1 Os 0.5000 0.5000 0.5000


# Ac2TbPr, relaxed, DFT PBE
# - Energy of formation from the pure elements: 0.1116 eV/atom
# - ΔE to the lowest computed polymorph: 80.2 meV/atom
data_Ac2TbPr
_chemical_formula_sum 'Ac8 Tb4 Pr4'
_space_group_name_H-M_alt 'F m -3 m'
_space_group_IT_number 225
_space_group_name_Hall '-F 4 2 3'
_cell_length_a 8.5729
_cell_length_b 8.5729
_cell_length_c 8.5729
_cell_angle_alpha 90.00
_cell_angle_beta 90.00
_cell_angle_gamma 90.00
loop_
_atom_site_label
_atom_site_type_symbol
_atom_site_fract_x
_atom_site_fract_y
_atom_site_fract_z
Ac1 Ac 0.2500 0.2500 0.2500
Tb1 Tb 0.0000 0.0000 0.0000
Pr1 Pr 0.0000 0.0000 0.5000


Number 1: total magnetization 0.0 μB per formula unit, mass density 9.99 g cm⁻³. Number 2: total magnetization 0.0 μB per formula unit, mass density 7.56 g cm⁻³. Number 3: total magnetization 0.0 μB per formula unit, mass density 8.34 g cm⁻³. Number 4: total magnetization 0.0 μB per formula unit, mass density 4.10 g cm⁻³. Number 5: total magnetization 3.8 μB per formula unit, mass density 10.92 g cm⁻³. Number 6: total magnetization 0.0 μB per formula unit, mass density 7.95 g cm⁻³.